No. 1
A plane-wave DFT calculation with PBE-GGA was carried out for crystalline Tb2PrHg2 at its relaxed geometry.

## Properties
Symmetry: P2_1/m (11)
Formation energy from the elements (meV per atom): -380
Crystal system: monoclinic

Cell: 3.7757 5.4307 13.9492 Å, 90.00 97.79 90.00°
With the nearest neighbours (Å) after each atom.
Fractional positions:
1 Tb 0.0489 0.2500 0.0961  8 Hg 3.18-3.31
2 Tb 0.2360 0.2500 0.4726  2 Hg 3.17, 4 Tb 3.39
3 Tb 0.7640 0.7500 0.5274  2 Hg 3.17, 4 Tb 3.39
4 Tb 0.9511 0.7500 0.9039  8 Hg 3.18-3.31
5 Pr 0.1479 0.7500 0.2922  6 Hg 3.31-3.38, 2 Tb 3.69
6 Pr 0.8521 0.2500 0.7078  6 Hg 3.31-3.38, 2 Tb 3.69
7 Hg 0.3550 0.7500 0.7116  4 Tb 3.17-3.26, 4 Pr 3.31
8 Hg 0.4553 0.2500 0.9108  6 Tb 3.18-3.31, 2 Pr 3.38
9 Hg 0.5447 0.7500 0.0892  6 Tb 3.18-3.31, 2 Pr 3.38
10 Hg 0.6450 0.2500 0.2884  4 Tb 3.17-3.26, 4 Pr 3.31



No. 2
A plane-wave DFT calculation with PBE-GGA was carried out for crystalline Tb2Pr3Hg at its relaxed geometry.

## Properties
Symmetry: Cmmm (65)
Formation energy from the elements (meV per atom): -150
Crystal system: orthorhombic

Cell: 5.7055 18.0019 3.7937 Å, 90.00 90.00 90.00°
With the nearest neighbours (Å) after each atom.
Fractional positions:
1 Tb 0.0000 0.1398 0.0000  2 Hg 3.15, 4 Pr 3.52
2 Tb 0.0000 0.8602 0.0000  2 Hg 3.15, 4 Pr 3.52
3 Tb 0.5000 0.3602 0.0000  2 Hg 3.15, 4 Pr 3.52
4 Tb 0.5000 0.6398 0.0000  2 Hg 3.15, 4 Pr 3.52
5 Pr 0.0000 0.3144 0.5000  6 Tb 3.52-3.67, 6 Pr 3.68-3.84
6 Pr 0.0000 0.5000 0.0000  4 Hg 3.43, 2 Pr 3.79, 4 Tb 3.80
7 Pr 0.0000 0.6856 0.5000  6 Tb 3.52-3.67, 6 Pr 3.68-3.84
8 Pr 0.5000 0.0000 0.0000  4 Hg 3.43, 2 Pr 3.79, 4 Tb 3.80
9 Pr 0.5000 0.1856 0.5000  6 Tb 3.52-3.67, 6 Pr 3.68-3.84
10 Pr 0.5000 0.8144 0.5000  6 Tb 3.52-3.67, 6 Pr 3.68-3.84
11 Hg 0.0000 0.0000 0.5000  4 Tb 3.15, 4 Pr 3.43
12 Hg 0.5000 0.5000 0.5000  4 Tb 3.15, 4 Pr 3.43



No. 3
A plane-wave DFT calculation with PBE-GGA was carried out for crystalline Tb2PrHg3 at its relaxed geometry.

## Properties
Symmetry: P4/mmm (123)
Formation energy from the elements (meV per atom): -476
Crystal system: tetragonal

Cell: 3.7784 3.7784 11.3563 Å, 90.00 90.00 90.00°
With the nearest neighbours (Å) after each atom.
Fractional positions:
1 Tb 0.0000 0.0000 0.1630  8 Hg 3.21-3.25
2 Tb 0.0000 0.0000 0.8370  8 Hg 3.21-3.25
3 Pr 0.0000 0.0000 0.5000  8 Hg 3.37
4 Hg 0.5000 0.5000 0.0000  8 Tb 3.25, 2 Hg 3.62
5 Hg 0.5000 0.5000 0.3190  4 Tb 3.21, 4 Pr 3.37
6 Hg 0.5000 0.5000 0.6810  4 Tb 3.21, 4 Pr 3.37



No. 4
A plane-wave DFT calculation with PBE-GGA was carried out for crystalline Tb2Pr3Hg3 at its relaxed geometry.

## Properties
Symmetry: Immm (71)
Formation energy from the elements (meV per atom): -355
Crystal system: orthorhombic

Cell: 3.8091 5.5155 22.5841 Å, 90.00 90.00 90.00°
With the nearest neighbours (Å) after each atom.
Fractional positions:
1 Tb 0.0000 0.0000 0.2338  2 Hg 3.14, 4 Tb 3.43
2 Tb 0.0000 0.0000 0.7662  2 Hg 3.14, 4 Tb 3.43
3 Tb 0.5000 0.5000 0.2662  2 Hg 3.14, 4 Tb 3.43
4 Tb 0.5000 0.5000 0.7338  2 Hg 3.14, 4 Tb 3.43
5 Pr 0.0000 0.0000 0.0000  8 Hg 3.35-3.38
6 Pr 0.0000 0.5000 0.1222  6 Hg 3.35, 2 Tb 3.74
7 Pr 0.0000 0.5000 0.8778  6 Hg 3.35, 2 Tb 3.74
8 Pr 0.5000 0.0000 0.3778  6 Hg 3.35, 2 Tb 3.74
9 Pr 0.5000 0.0000 0.6222  6 Hg 3.35, 2 Tb 3.74
10 Pr 0.5000 0.5000 0.5000  8 Hg 3.35-3.38
11 Hg 0.0000 0.0000 0.5000  8 Pr 3.35
12 Hg 0.0000 0.5000 0.3765  2 Tb 3.14, 6 Pr 3.35-3.38
13 Hg 0.0000 0.5000 0.6235  2 Tb 3.14, 6 Pr 3.35-3.38
14 Hg 0.5000 0.0000 0.1235  2 Tb 3.14, 6 Pr 3.35-3.38
15 Hg 0.5000 0.0000 0.8765  2 Tb 3.14, 6 Pr 3.35-3.38
16 Hg 0.5000 0.5000 0.0000  8 Pr 3.35



No. 5
A plane-wave DFT calculation with PBE-GGA was carried out for crystalline TbPr2Hg at its relaxed geometry.

## Properties
Symmetry: R3m (160)
Formation energy from the elements (meV per atom): -131
Crystal system: trigonal

Cell: 3.7296 3.7296 32.6112 Å, 90.00 90.00 120.00°
With the nearest neighbours (Å) after each atom.
Fractional positions:
1 Tb 0.0000 0.0000 0.0000  6 Pr 3.61-3.63, 6 Tb 3.73
2 Tb 0.3333 0.6667 0.6667  6 Pr 3.61-3.63, 6 Tb 3.73
3 Tb 0.6667 0.3333 0.3333  6 Pr 3.61-3.63, 6 Tb 3.73
4 Pr 0.0000 0.0000 0.2437  3 Hg 3.32, 3 Tb 3.63
5 Pr 0.0000 0.0000 0.4224  3 Hg 3.31, 3 Tb 3.61
6 Pr 0.3333 0.6667 0.0890  3 Hg 3.31, 3 Tb 3.61
7 Pr 0.3333 0.6667 0.9104  3 Hg 3.32, 3 Tb 3.63
8 Pr 0.6667 0.3333 0.5771  3 Hg 3.32, 3 Tb 3.63
9 Pr 0.6667 0.3333 0.7557  3 Hg 3.31, 3 Tb 3.61
10 Hg 0.0000 0.0000 0.8329  6 Pr 3.31-3.32
11 Hg 0.3333 0.6667 0.4996  6 Pr 3.31-3.32
12 Hg 0.6667 0.3333 0.1663  6 Pr 3.31-3.32



No. 6
A plane-wave DFT calculation with PBE-GGA was carried out for crystalline Tb4Pr5Hg at its relaxed geometry.

## Properties
Symmetry: P4/mmm (123)
Formation energy from the elements (meV per atom): 3
Crystal system: tetragonal

Cell: 4.1812 4.1812 18.8023 Å, 90.00 90.00 90.00°
With the nearest neighbours (Å) after each atom.
Fractional positions:
1 Tb 0.0000 0.0000 0.1017  8 Pr 3.50-3.52, 2 Tb 3.76-3.82
2 Tb 0.0000 0.0000 0.3016  8 Pr 3.51-3.58, 1 Hg 3.73, 1 Tb 3.76
3 Tb 0.0000 0.0000 0.6984  8 Pr 3.51-3.58, 1 Hg 3.73, 1 Tb 3.76
4 Tb 0.0000 0.0000 0.8983  8 Pr 3.50-3.52, 2 Tb 3.76-3.82
5 Pr 0.5000 0.5000 0.0000  8 Tb 3.52, 2 Pr 3.79
6 Pr 0.5000 0.5000 0.2014  8 Tb 3.50-3.51, 2 Pr 3.79-3.91
7 Pr 0.5000 0.5000 0.4092  4 Hg 3.41, 1 Pr 3.42, 4 Tb 3.58
8 Pr 0.5000 0.5000 0.5908  4 Hg 3.41, 1 Pr 3.42, 4 Tb 3.58
9 Pr 0.5000 0.5000 0.7986  8 Tb 3.50-3.51, 2 Pr 3.79-3.91
10 Hg 0.0000 0.0000 0.5000  8 Pr 3.41, 2 Tb 3.73



| no. | M_tot (μB/f.u.) |
| --- | --- |
| 1 | 0.000 |
| 2 | 0.000 |
| 3 | 0.956 |
| 4 | 0.661 |
| 5 | 0.000 |
| 6 | 0.001 |